[1]
Entry from Alexandria via LeMat-Bulk: an optimized crystal structure of TbEuRh2 (PBE).

abc: 3.451 3.451 7.075
angles: 90.00 90.00 90.00
Fractional positions:
Tb1 0.000 0.000 0.000
Eu1 0.000 0.000 0.500
Rh1 0.500 0.500 0.229
Rh2 0.500 0.500 0.771

Results
Energy relative to the lowest polymorph listed for this composition: 0.00 kcal/mol of atoms
Mass density: 10.18 g/cm3
Space group: No. 123
Energy relative to the elements: -611.6 meV/atom
DFT total energy: -8.013 eV per atom

=====

[2]
Entry from Alexandria via LeMat-Bulk: an optimized crystal structure of TbEuRh4 (PBE).

abc: 5.376 5.376 5.376
angles: 60.00 60.00 60.00
Fractional positions:
Tb1 0.000 0.000 0.000
Eu1 0.750 0.750 0.750
Rh1 0.375 0.375 0.375
Rh2 0.375 0.375 0.875
Rh3 0.375 0.875 0.375
Rh4 0.875 0.375 0.375

Results
Mass density: 10.92 g/cm3
Space group: No. 216
Energy relative to the elements: -595.3 meV/atom
DFT total energy: -7.980 eV per atom

=====

[3]
Entry from Alexandria via LeMat-Bulk: an optimized crystal structure of TbEuRh (PBE).

abc: 4.049 4.049 6.450
angles: 90.00 90.00 120.00
Fractional positions:
Tb1 0.000 0.000 0.000
Eu1 0.667 0.333 0.515
Rh1 0.333 0.667 0.783

Results
Energy relative to the lowest polymorph listed for this composition: 0.85 kcal/mol of atoms
Mass density: 7.50 g/cm3
Space group: No. 156
Energy relative to the elements: -420.1 meV/atom
DFT total energy: -7.839 eV per atom

=====

[4]
Entry from Alexandria via LeMat-Bulk: an optimized crystal structure of TbEu2Rh (PBE).

abc: 10.879 10.879 10.879
angles: 19.30 19.30 19.30
Fractional positions:
Tb1 0.000 0.000 0.000
Eu1 0.106 0.106 0.106
Eu2 0.894 0.894 0.894
Rh1 0.500 0.500 0.500

Results
Mass density: 7.64 g/cm3
Space group: No. 166
Energy relative to the elements: 53.3 meV/atom
DFT total energy: -8.079 eV per atom